Entry 1:
# PmAsRh3 PBE relaxed
# uncorrected energy: -6.66 eV/atom
# spin magnetization: 0.000 μB/atom
# energy above the lowest structure with this stoichiometry: 337 meV/atom
data_PmAsRh3
_cell_length_a 4.618
_cell_length_b 4.618
_cell_length_c 4.618
_cell_angle_alpha 90.00
_cell_angle_beta 90.00
_cell_angle_gamma 90.00
_space_group_name_H-M_alt 'P m -3 m'
_space_group_IT_number 221
_space_group_name_Hall '-P 4 2 3'
loop_
_atom_site_label
_atom_site_fract_x
_atom_site_fract_y
_atom_site_fract_z
Pm1 0.000 0.000 0.000
As1 0.500 0.500 0.500
Rh1 0.000 0.500 0.500

Entry 2:
# PmAs2Rh2 PBE relaxed
# uncorrected energy: -6.67 eV/atom
# spin magnetization: 0.000 μB/atom
data_PmAs2Rh2
_cell_length_a 4.276
_cell_length_b 4.276
_cell_length_c 10.051
_cell_angle_alpha 90.00
_cell_angle_beta 90.00
_cell_angle_gamma 90.00
_space_group_name_H-M_alt 'P 4/n m m'
_space_group_IT_number 129
loop_
_space_group_symop_operation_xyz
'x,y,z'
'-x,-y,-z'
'-y+1/2,x,z'
'y+1/2,-x,-z'
'-x+1/2,-y+1/2,z'
'x+1/2,y+1/2,-z'
'y,-x+1/2,z'
'-y,x+1/2,-z'
'x+1/2,-y,-z'
'-x+1/2,y,z'
'-y,-x,-z'
'y,x,z'
'-x,y+1/2,-z'
'x,-y+1/2,z'
'y+1/2,x+1/2,-z'
'-y+1/2,-x+1/2,z'
loop_
_atom_site_label
_atom_site_fract_x
_atom_site_fract_y
_atom_site_fract_z
Pm1 0.250 0.250 0.248
As1 0.250 0.250 0.637
As2 0.250 0.750 0.000
Rh1 0.250 0.250 0.878
Rh2 0.250 0.750 0.500

Number 1: formation energy from the elements -0.3663 eV/atom. Number 2: formation energy from the elements -0.9243 eV/atom.